Record 1
Below is a relaxed SrTl2HgPb crystal, with properties calculated at the PBE level.

Cell lengths 5.4203, 6.3444, 10.7607 Å; angles 90.00, 90.00, 115.29 degrees
Closest atoms and distances in Å follow each position.
Fractional coordinates of all 10 atoms:
Hg1 0.4806 0.9611 0.2500  4 Tl 3.16-3.46, 1 Sr 3.33
Hg2 0.5194 0.0389 0.7500  4 Tl 3.16-3.46, 1 Sr 3.33
Sr1 0.8098 0.6196 0.7500  3 Hg 3.33-3.62, 6 Tl 3.46-3.60, 2 Pb 3.46
Sr2 0.1902 0.3804 0.2500  3 Hg 3.33-3.62, 6 Tl 3.46-3.60, 2 Pb 3.46
Tl1 0.3352 0.6704 0.5322  2 Hg 3.16-3.46, 2 Pb 3.32, 2 Tl 3.41, 1 Sr 3.46
Tl2 0.6648 0.3296 0.4678  2 Hg 3.16-3.46, 2 Pb 3.32, 2 Tl 3.41, 1 Sr 3.46
Tl3 0.3352 0.6704 0.9678  2 Hg 3.16-3.46, 2 Pb 3.32, 2 Tl 3.41, 1 Sr 3.46
Tl4 0.6648 0.3296 0.0322  2 Hg 3.16-3.46, 2 Pb 3.32, 2 Tl 3.41, 1 Sr 3.46
Pb1 0.0000 0.0000 0.0000  4 Tl 3.32, 2 Sr 3.46
Pb2 0.0000 0.0000 0.5000  4 Tl 3.32, 2 Sr 3.46

Results
For the formation energy, the calculation gives -0.1406 eV/atom. For the electronic total energy, the calculation gives -22.26 eV/cell.


Record 2
Below is a relaxed SrTmHgPb crystal, with properties calculated at the PBE level.

Cell lengths 5.5120, 5.5120, 5.5120 Å; angles 60.00, 60.00, 60.00 degrees
Closest atoms and distances in Å follow each position.
Fractional coordinates of all 4 atoms:
Pb1 0.2500 0.2500 0.2500  4 Tm 3.38, 4 Sr 3.38
Tm1 0.0000 0.0000 0.0000  4 Pb 3.38, 4 Hg 3.38
Hg1 0.7500 0.7500 0.7500  4 Tm 3.38, 4 Sr 3.38
Sr1 0.5000 0.5000 0.5000  4 Hg 3.38, 4 Pb 3.38

Results
For the formation energy, the calculation gives -0.4235 eV/atom. For the electronic total energy, the calculation gives -11.86 eV/cell.


Record 3
Below is a relaxed SrTm2Hg2Pb2 crystal, with properties calculated at the PBE level.

Cell lengths 5.1106, 5.1106, 9.8536 Å; angles 74.97, 74.97, 60.00 degrees
Closest atoms and distances in Å follow each position.
Fractional coordinates of all 7 atoms:
Tm1 0.1360 0.1360 0.5921  3 Hg 3.04
Tm2 0.8640 0.8640 0.4079  3 Hg 3.04
Sr1 0.0000 0.0000 0.0000  6 Pb 3.59, 2 Tm 3.84
Hg1 0.5565 0.5565 0.3305  3 Tm 3.04, 3 Pb 3.14, 1 Hg 3.19
Hg2 0.4435 0.4435 0.6695  3 Tm 3.04, 3 Pb 3.14, 1 Hg 3.19
Pb1 0.7390 0.7390 0.7831  3 Hg 3.14, 3 Tm 3.45
Pb2 0.2610 0.2610 0.2169  3 Hg 3.14, 3 Tm 3.45

Results
For the formation energy, the calculation gives -0.2621 eV/atom. For the electronic total energy, the calculation gives -20.48 eV/cell.


Record 4
Below is a relaxed SrYHgPb crystal, with properties calculated at the PBE level.

Cell lengths 5.5422, 5.5422, 5.5422 Å; angles 60.00, 60.00, 60.00 degrees
Closest atoms and distances in Å follow each position.
Fractional coordinates of all 4 atoms:
Hg1 0.5000 0.5000 0.5000  4 Sr 3.39, 4 Y 3.39
Y1 0.7500 0.7500 0.7500  4 Hg 3.39, 4 Pb 3.39
Sr1 0.2500 0.2500 0.2500  4 Hg 3.39, 4 Pb 3.39
Pb1 0.0000 0.0000 0.0000  4 Sr 3.39, 4 Y 3.39

Results
For the formation energy, the calculation gives -0.4663 eV/atom. For the electronic total energy, the calculation gives -14.02 eV/cell.